A relaxed ZrMn2RePb crystal. Source: Alexandria, functional PBE.

a = 4.6705 Å, b = 4.6705 Å, c = 5.3041 Å
α = 90.00°, β = 90.00°, γ = 90.00°
Closest atoms and distances in Å follow each position.
Element x y z (fractional)
Zr 0.0000 0.0000 0.0000  2 Pb 2.65
Mn 0.0000 0.5000 0.5000  2 Pb 2.34
Mn 0.5000 0.0000 0.5000  2 Pb 2.34
Re 0.5000 0.5000 0.0000  4 Zr 3.30, 8 Mn 3.53
Pb 0.0000 0.0000 0.5000  4 Mn 2.34

Properties
N(E_F)   1.9966 states/eV per atom
Space-group type   P4/mmm
Formation energy   2.520 eV/atom


A relaxed Pm2Be4Si3Pd crystal. Source: Alexandria, functional PBE.

a = 3.9276 Å, b = 3.9276 Å, c = 9.8326 Å
α = 90.00°, β = 90.00°, γ = 90.00°
Closest atoms and distances in Å follow each position.
Element x y z (fractional)
Pm 0.0000 0.5000 0.2425  6 Si 2.99-3.20, 8 Be 3.04-3.09, 2 Pd 3.20
Pm 0.5000 0.0000 0.7575  6 Si 2.99-3.20, 8 Be 3.04-3.09, 2 Pd 3.20
Be 0.0000 0.0000 0.0000  4 Si 2.35
Be 0.0000 0.5000 0.6324  3 Si 2.33-2.36, 2 Pd 2.36
Be 0.5000 0.0000 0.3676  3 Si 2.33-2.36, 2 Pd 2.36
Be 0.5000 0.5000 0.0000  4 Si 2.35
Si 0.0000 0.5000 0.8695  5 Be 2.33-2.35
Si 0.5000 0.0000 0.1305  5 Be 2.33-2.35
Si 0.5000 0.5000 0.5000  4 Be 2.36
Pd 0.0000 0.0000 0.5000  4 Be 2.36

Properties
N(E_F)   0.3779 states/eV per atom
Energy relative to the elements, uncorrected   -0.517 eV per atom
Space-group type   P-4m2


A relaxed TaOsPd2Cl crystal. Source: Alexandria, functional PBE.

a = 4.9117 Å, b = 4.9117 Å, c = 4.5118 Å
α = 90.00°, β = 90.00°, γ = 90.00°
Closest atoms and distances in Å follow each position.
Element x y z (fractional)
Ta 0.0000 0.0000 0.0000  2 Cl 2.26, 4 Pd 2.46
Os 0.5000 0.5000 0.5000  8 Pd 3.33, 4 Cl 3.47
Pd 0.0000 0.5000 0.0000  2 Ta 2.46
Pd 0.5000 0.0000 0.0000  2 Ta 2.46
Cl 0.0000 0.0000 0.5000  2 Ta 2.26

Properties
N(E_F)   0.7858 states/eV per atom
Energy relative to the elements, uncorrected   1.449 eV per atom
Space-group type   P4/mmm


A relaxed Tb2Al3GaCu4 crystal. Source: Alexandria, functional PBE.

a = 4.1431 Å, b = 4.1431 Å, c = 10.1506 Å
α = 90.00°, β = 90.00°, γ = 90.00°
Closest atoms and distances in Å follow each position.
Element x y z (fractional)
Tb 0.0000 0.5000 0.2474  8 Cu 3.16-3.26, 6 Al 3.17-3.30, 2 Ga 3.30
Tb 0.5000 0.0000 0.7526  8 Cu 3.16-3.26, 6 Al 3.17-3.30, 2 Ga 3.30
Al 0.0000 0.5000 0.8715  5 Cu 2.40-2.45
Al 0.5000 0.0000 0.1285  5 Cu 2.40-2.45
Al 0.5000 0.5000 0.5000  4 Cu 2.49
Ga 0.0000 0.0000 0.5000  4 Cu 2.49
Cu 0.0000 0.0000 0.0000  4 Al 2.45
Cu 0.0000 0.5000 0.6353  3 Al 2.40-2.49, 2 Ga 2.49
Cu 0.5000 0.0000 0.3647  3 Al 2.40-2.49, 2 Ga 2.49
Cu 0.5000 0.5000 0.0000  4 Al 2.45

Properties
N(E_F)   0.4747 states/eV per atom
Space-group type   P-4m2
Formation energy   -0.412 eV/atom


A relaxed SrCa3Au crystal. Source: Alexandria, functional PBE.

a = 5.8553 Å, b = 5.8553 Å, c = 5.8553 Å
α = 90.00°, β = 90.00°, γ = 90.00°
Closest atoms and distances in Å follow each position.
Element x y z (fractional)
Sr 0.0000 0.0000 0.0000  12 Ca 4.14
Ca 0.0000 0.5000 0.5000  2 Au 2.93
Ca 0.5000 0.0000 0.5000  2 Au 2.93
Ca 0.5000 0.5000 0.0000  2 Au 2.93
Au 0.5000 0.5000 0.5000  6 Ca 2.93

Properties
N(E_F)   0.5960 states/eV per atom
Space-group type   Pm-3m
Formation energy   -0.339 eV/atom


A relaxed CaAc5La6 crystal. Source: Alexandria, functional PBE.

a = 10.1769 Å, b = 10.1769 Å, c = 10.1769 Å
α = 148.57°, β = 115.64°, γ = 73.38°
Closest atoms and distances in Å follow each position.
Element x y z (fractional)
Ca 0.0000 0.0000 0.0000  8 La 3.89-3.93, 4 Ac 3.89
Ac 0.1684 0.6684 0.5000  8 La 3.77-3.93, 2 Ac 3.85, 2 Ca 3.89
Ac 0.3329 0.3329 0.0000  8 La 3.78-3.84, 4 Ac 3.85-3.88
Ac 0.5000 0.0000 0.5000  8 La 3.80-3.84, 4 Ac 3.88
Ac 0.6671 0.6671 0.0000  8 La 3.78-3.84, 4 Ac 3.85-3.88
Ac 0.8316 0.3316 0.5000  8 La 3.77-3.93, 2 Ac 3.85, 2 Ca 3.89
La 0.0844 0.8311 0.2534  7 Ac 3.77-3.89, 4 La 3.82-3.90, 1 Ca 3.89
La 0.2585 0.5000 0.7585  6 Ac 3.78-3.93, 4 La 3.90, 2 Ca 3.93
La 0.4223 0.1689 0.2534  7 Ac 3.77-3.89, 4 La 3.82-3.90, 1 Ca 3.89
La 0.5777 0.8311 0.7466  7 Ac 3.77-3.89, 4 La 3.82-3.90, 1 Ca 3.89
La 0.7415 0.5000 0.2415  6 Ac 3.78-3.93, 4 La 3.90, 2 Ca 3.93
La 0.9156 0.1689 0.7466  7 Ac 3.77-3.89, 4 La 3.82-3.90, 1 Ca 3.89

Properties
N(E_F)   1.8616 states/eV per atom
Space-group type   Immm
Formation energy   0.026 eV/atom


A relaxed RbCa2SnBr8 crystal. Source: Alexandria, functional PBE.

a = 6.7709 Å, b = 7.0473 Å, c = 9.1623 Å
α = 89.98°, β = 89.95°, γ = 89.18°
Closest atoms and distances in Å follow each position.
Element x y z (fractional)
Rb 0.0000 0.0000 0.0000  6 Br 3.27-3.31
Ca 0.4999 0.5000 0.2493  6 Br 2.89-3.07
Ca 0.5001 0.5000 0.7507  6 Br 2.89-3.07
Sn 0.0000 0.0000 0.5000  6 Br 2.80-2.95
Br 0.2493 0.8414 0.7127  1 Sn 2.80, 1 Ca 2.95
Br 0.2498 0.8420 0.2872  1 Sn 2.80, 1 Ca 2.95
Br 0.2539 0.3363 0.5001  1 Sn 2.95, 2 Ca 3.07
Br 0.2729 0.3787 0.0002  2 Ca 2.89
Br 0.7271 0.6213 0.9998  2 Ca 2.89
Br 0.7461 0.6637 0.4999  1 Sn 2.95, 2 Ca 3.07
Br 0.7502 0.1580 0.7128  1 Sn 2.80, 1 Ca 2.95
Br 0.7507 0.1586 0.2873  1 Sn 2.80, 1 Ca 2.95

Properties
N(E_F)   0.4668 states/eV per atom
Energy relative to the elements, uncorrected   -1.457 eV per atom
Space-group type   P-1


A relaxed Si2BRu crystal. Source: Alexandria, functional PBE.

a = 5.7601 Å, b = 5.7601 Å, c = 5.7601 Å
α = 125.11°, β = 125.11°, γ = 81.36°
Closest atoms and distances in Å follow each position.
Element x y z (fractional)
Si 0.0743 0.6250 0.9493  2 B 2.02
Si 0.3750 0.3243 0.4493  2 B 2.02
Si 0.6757 0.1250 0.0507  2 B 2.02
Si 0.8750 0.9257 0.5507  2 B 2.02
B 0.0000 0.0000 0.0000  4 Si 2.02
B 0.7500 0.2500 0.5000  4 Si 2.02
Ru 0.2500 0.7500 0.5000  4 Si 2.35
Ru 0.5000 0.5000 0.0000  4 Si 2.35

Properties
N(E_F)   0.6611 states/eV per atom
Energy relative to the elements, uncorrected   0.411 eV per atom
Space-group type   I-42d


A relaxed Pr6DyY3Ho2 crystal. Source: Alexandria, functional PBE.

a = 6.3165 Å, b = 6.3165 Å, c = 11.9013 Å
α = 95.06°, β = 95.06°, γ = 120.00°
Closest atoms and distances in Å follow each position.
Element x y z (fractional)
Pr 0.0832 0.4167 0.7514  2 Ho 3.59-3.60, 1 Dy 3.60, 3 Y 3.62, 6 Pr 3.65
Pr 0.2499 0.2499 0.2487  1 Dy 3.59, 2 Ho 3.60, 3 Y 3.62, 6 Pr 3.65
Pr 0.4167 0.0832 0.7514  2 Ho 3.59-3.60, 1 Dy 3.60, 3 Y 3.62, 6 Pr 3.65
Pr 0.5833 0.9168 0.2486  2 Ho 3.59-3.60, 1 Dy 3.60, 3 Y 3.62, 6 Pr 3.65
Pr 0.7501 0.7501 0.7513  1 Dy 3.59, 2 Ho 3.60, 3 Y 3.62, 6 Pr 3.65
Pr 0.9168 0.5833 0.2486  2 Ho 3.59-3.60, 1 Dy 3.60, 3 Y 3.62, 6 Pr 3.65
Dy 0.5000 0.5000 0.0000  6 Pr 3.59-3.60, 6 Ho 3.65
Y 0.0000 0.0000 0.5000  6 Pr 3.62, 6 Y 3.65
Y 0.3333 0.6667 0.5000  6 Pr 3.62, 6 Y 3.65
Y 0.6667 0.3333 0.5000  6 Pr 3.62, 6 Y 3.65
Ho 0.1666 0.8334 0.0000  6 Pr 3.59-3.60, 3 Ho 3.64-3.65, 3 Dy 3.65
Ho 0.8334 0.1666 0.0000  6 Pr 3.59-3.60, 3 Ho 3.64-3.65, 3 Dy 3.65

Properties
N(E_F)   1.1132 states/eV per atom
Space-group type   C2/m
Formation energy   0.009 eV/atom


A relaxed AcThSc2 crystal. Source: Alexandria, functional PBE.

a = 3.9690 Å, b = 3.9690 Å, c = 7.8369 Å
α = 90.00°, β = 90.00°, γ = 90.00°
Closest atoms and distances in Å follow each position.
Element x y z (fractional)
Ac 0.0000 0.0000 0.0000  8 Sc 3.53, 2 Th 3.92
Th 0.0000 0.0000 0.5000  8 Sc 3.32
Sc 0.5000 0.5000 0.2739  4 Th 3.32, 4 Ac 3.53, 1 Sc 3.54
Sc 0.5000 0.5000 0.7261  4 Th 3.32, 4 Ac 3.53, 1 Sc 3.54

Properties
N(E_F)   1.2246 states/eV per atom
Space-group type   P4/mmm
Formation energy   0.068 eV/atom


A relaxed Mg5Sb crystal. Source: Alexandria, functional PBE.

a = 3.2578 Å, b = 3.2578 Å, c = 13.4275 Å
α = 90.00°, β = 90.00°, γ = 90.00°
Closest atoms and distances in Å follow each position.
Element x y z (fractional)
Mg 0.0000 0.0000 0.0000  12 Mg 3.19-3.26
Mg 0.0000 0.0000 0.3282  8 Mg 3.19-3.26, 4 Sb 3.26
Mg 0.0000 0.0000 0.6718  8 Mg 3.19-3.26, 4 Sb 3.26
Mg 0.5000 0.5000 0.1641  12 Mg 3.19-3.26
Mg 0.5000 0.5000 0.8359  12 Mg 3.19-3.26
Sb 0.5000 0.5000 0.5000  4 Sb 3.26, 8 Mg 3.26

Properties
N(E_F)   0.6350 states/eV per atom
Energy relative to the elements, uncorrected   -0.013 eV per atom
Space-group type   P4/mmm


A relaxed K2In3Pb5 crystal. Source: Alexandria, functional PBE.

a = 10.5120 Å, b = 10.5120 Å, c = 10.5120 Å
α = 103.22°, β = 91.28°, γ = 138.51°
Closest atoms and distances in Å follow each position.
Element x y z (fractional)
K 0.1294 0.2491 0.3785  10 Pb 3.90-4.20, 6 In 3.95-4.22
K 0.3706 0.7491 0.1197  10 Pb 3.90-4.20, 6 In 3.95-4.22
K 0.6294 0.2509 0.8803  10 Pb 3.90-4.20, 6 In 3.95-4.22
K 0.8706 0.7509 0.6215  10 Pb 3.90-4.20, 6 In 3.95-4.22
In 0.1234 0.8679 0.9913  5 Pb 3.04-3.14
In 0.2500 0.7500 0.5000  4 Pb 3.08
In 0.3766 0.3679 0.7445  5 Pb 3.04-3.14
In 0.6234 0.6321 0.2555  5 Pb 3.04-3.14
In 0.7500 0.2500 0.5000  4 Pb 3.08
In 0.8766 0.1321 0.0087  5 Pb 3.04-3.14
Pb 0.0009 0.2500 0.7509  2 In 3.14, 2 Pb 3.25
Pb 0.1153 0.6355 0.7508  3 In 3.04-3.08, 2 Pb 3.25
Pb 0.2500 0.2500 0.0000  4 In 3.12
Pb 0.3847 0.1355 0.5202  3 In 3.04-3.08, 2 Pb 3.25
Pb 0.4991 0.2500 0.2491  2 In 3.14, 2 Pb 3.25
Pb 0.5009 0.7500 0.7509  2 In 3.14, 2 Pb 3.25
Pb 0.6153 0.8645 0.4798  3 In 3.04-3.08, 2 Pb 3.25
Pb 0.7500 0.7500 0.0000  4 In 3.12
Pb 0.8847 0.3645 0.2492  3 In 3.04-3.08, 2 Pb 3.25
Pb 0.9991 0.7500 0.2491  2 In 3.14, 2 Pb 3.25

Properties
N(E_F)   0.4266 states/eV per atom
Space-group type   Ibam
Formation energy   -0.082 eV/atom


- Look up the N(E_F) of the second one.
  0.3779 states/eV per atom


- What is the formula in the eleventh record?
  Mg5Sb